No. 1
First-principles (PBE with a Hubbard U) data for crystalline Co3P4O16 at its relaxed geometry, as listed in Alexandria.

Cell and atoms, written as extended XYZ:
```
23
Lattice="4.966 0.088 -0.215 0.415 7.846 0.090 0.248 0.774 7.751" Properties=species:S:1:pos:R:3 pbc="T T T"
O 1.638 5.274 3.109
O 5.016 0.736 5.204
O 0.241 0.334 2.524
O 3.247 4.107 6.249
O 0.936 1.135 0.215
O 4.095 5.493 3.046
O 2.168 7.263 6.910
O 2.887 4.704 0.971
O 1.323 3.178 4.920
O 2.952 1.606 5.972
O 3.515 1.509 0.815
O 3.658 2.969 3.984
O 4.681 7.622 7.559
O 5.135 6.025 5.837
O 0.398 2.848 1.978
O 2.683 7.142 1.757
P 2.825 3.012 5.258
P 2.803 5.648 2.205
P 5.025 1.532 1.240
P 0.638 7.350 6.497
Co 2.522 0.152 -0.025
Co 3.556 5.773 6.964
Co 5.217 4.002 3.384
```

- Spin magnetization: 2.4 μB per formula unit
- Final energy: -6.495 eV/atom
- DOS(E_F): 7.1 states/eV/f.u.



No. 2
First-principles (PBE with a Hubbard U) data for crystalline Co2P3O10 at its relaxed geometry, as listed in Alexandria.

Cell and atoms, written as extended XYZ:
```
30
Lattice="-7.321 2.161 -1.589 3.009 -5.187 -5.557 0.409 -6.093 7.459" Properties=species:S:1:pos:R:3 pbc="T T T"
P -4.584 -5.071 1.557
P 1.597 -5.775 -3.421
P -2.975 -4.244 -4.257
P -5.500 -3.344 3.734
P 0.680 -4.048 -1.243
P -0.929 -4.875 4.571
O -4.886 -3.645 2.275
O 1.045 -4.766 -4.423
O -0.817 -4.923 3.061
O -2.239 -7.087 -1.512
O -3.883 -5.980 2.585
O -1.665 -2.032 1.825
O 1.351 -7.820 2.762
O -0.163 -4.373 -0.043
O -4.948 -4.353 4.736
O -5.254 -1.299 -2.448
O 0.983 -5.474 -1.962
O -3.086 -4.197 -2.748
O -3.741 -4.746 0.356
O -4.164 -3.289 -4.872
O -2.188 -5.644 5.069
O 0.261 -5.831 5.186
O -6.087 -0.422 0.652
O 2.184 -8.697 -0.338
O -1.715 -3.475 -4.755
O -0.020 -3.139 -2.271
Co -0.403 -3.569 1.722
Co -0.019 -3.197 -4.166
Co -3.885 -5.922 4.479
Co -3.501 -5.550 -1.408
```

- Spin magnetization: 7.0 μB per formula unit
- Final energy: -6.893 eV/atom



No. 3
First-principles (PBE with a Hubbard U) data for crystalline CoPO4 at its relaxed geometry, as listed in Alexandria.

Cell and atoms, written as extended XYZ:
```
24
Lattice="10.399 0.000 0.000 0.000 5.329 -0.166 0.000 4.862 7.424" Properties=species:S:1:pos:R:3 pbc="T T T"
O 1.642 5.467 4.693
O 6.931 3.702 4.778
O 5.610 1.617 1.441
O 6.842 7.154 6.277
O 1.542 3.095 3.843
O 3.469 6.489 2.481
O 8.668 1.271 1.066
O 8.757 4.723 2.565
O 3.557 3.036 0.981
O 6.742 9.527 7.127
O 1.731 8.919 6.193
O 9.989 4.047 5.153
O 3.658 0.664 0.131
O 4.789 8.574 5.818
O 8.857 7.096 3.415
O 0.410 6.143 2.106
Co 3.409 9.067 6.979
Co 8.609 3.554 3.991
Co 1.790 6.637 3.267
Co 6.990 1.123 0.279
P 6.333 8.584 5.964
P 1.133 4.037 5.006
P 9.266 6.153 2.252
P 4.066 1.606 1.294
```

- Spin magnetization: 4.0 μB per formula unit
- Final energy: -6.729 eV/atom



No. 4
First-principles (PBE with a Hubbard U) data for crystalline CoPO4 at its relaxed geometry, as listed in Alexandria.

Cell and atoms, written as extended XYZ:
```
36
Lattice="8.798 0.001 0.001 -2.744 8.359 0.001 -2.744 -3.790 7.450" Properties=species:S:1:pos:R:3 pbc="T T T"
P 5.896 5.557 0.801
P 1.582 4.322 1.538
P 3.612 0.077 3.239
P -3.556 5.038 5.316
P 3.440 -2.613 6.901
P -1.054 1.319 4.549
O 3.212 8.171 0.161
O -2.384 0.942 5.253
O -0.353 2.445 5.353
O -0.401 -3.279 6.807
O -2.371 5.527 4.438
O 5.991 4.194 1.542
O 3.861 1.109 2.115
O -0.151 0.064 4.537
O 3.589 0.807 4.607
O 2.268 -0.639 3.017
O 2.433 4.577 2.809
O 6.761 -2.397 5.065
O 2.122 3.084 0.799
O -1.314 1.802 3.111
O -4.387 1.940 7.355
O 1.639 5.575 0.626
O 0.108 4.100 1.948
O 4.786 -0.937 3.222
O 7.302 1.976 0.165
O 4.867 3.592 4.934
O 1.111 5.488 5.439
O 1.894 1.792 7.358
O 2.116 -1.801 6.938
O -2.990 6.704 1.836
Co 4.812 1.842 5.554
Co 3.287 1.698 0.452
Co 2.408 5.855 4.160
Co -1.374 3.008 1.718
Co 0.248 2.616 7.106
Co 0.587 -1.253 3.460
```

- Spin magnetization: 4.0 μB per formula unit
- Final energy: -6.725 eV/atom



Q: Which formula does entry 3 have?
A: CoPO4